# BaCrGaO4 (PBE with a Hubbard U, relaxed)
data_BaCrGaO4
_chemical_formula_sum 'Ba2 Cr2 Ga2 O8'
_cell_length_a 5.385
_cell_length_b 5.760
_cell_length_c 7.197
_cell_angle_alpha 90.00
_cell_angle_beta 106.03
_cell_angle_gamma 90.00
_space_group_name_H-M_alt 'P 1 21/m 1'
_space_group_IT_number 11
loop_
_space_group_symop_operation_xyz
'x,y,z'
'-x,-y,-z'
'-x,y+1/2,-z'
'x,-y+1/2,z'
loop_
_atom_site_label
_atom_site_type_symbol
_atom_site_fract_x
_atom_site_fract_y
_atom_site_fract_z
_atom_site_occupancy
Ba1 Ba 0.241 0.250 0.451 1
Cr1 Cr 0.400 0.250 0.004 1
Ga1 Ga 0.202 0.750 0.170 1
O1 O 0.063 0.250 0.052 1
O2 O 0.163 0.750 0.412 1
O3 O 0.482 0.527 0.176 1
# Calculated density, Mg/m³: 5.000
# Calculated volume, Å³/cell: 215
# DOS(E_F), states/eV/atom: 0.0000
# DFT total energy, eV per atom: -6.619
# Total magnetic moment, μB/f.u.: 3.0